--- i ---
Computed, not measured: a relaxed structure of CoPtW2 at the PBE-GGA level of DFT.

Structure (CIF):
```
data_CoPtW2
_symmetry_space_group_name_H-M 'F m -3 m'
_symmetry_Int_Tables_number 225
_symmetry_space_group_name_Hall '-F 4 2 3'
_cell_length_a 6.215
_cell_length_b 6.215
_cell_length_c 6.215
_cell_angle_alpha 90.00
_cell_angle_beta 90.00
_cell_angle_gamma 90.00
loop_
_atom_site_label
_atom_site_type_symbol
_atom_site_fract_x
_atom_site_fract_y
_atom_site_fract_z
Co1 Co 0.000 0.000 0.000
Pt1 Pt 0.000 0.000 0.500
W1 W 0.250 0.250 0.250
```

---

--- ii ---
Computed, not measured: a relaxed structure of CoPtW2 at the PBE-GGA level of DFT.

Structure (CIF):
```
data_CoPtW2
_symmetry_space_group_name_H-M 'P 4 m m'
_symmetry_Int_Tables_number 99
_cell_length_a 3.195
_cell_length_b 3.195
_cell_length_c 5.764
_cell_angle_alpha 90.00
_cell_angle_beta 90.00
_cell_angle_gamma 90.00
loop_
_symmetry_equiv_pos_as_xyz
'x,y,z'
'-y,x,z'
'-x,-y,z'
'y,-x,z'
'-x,y,z'
'y,x,z'
'x,-y,z'
'-y,-x,z'
loop_
_atom_site_label
_atom_site_type_symbol
_atom_site_fract_x
_atom_site_fract_y
_atom_site_fract_z
Co1 Co 0.000 0.000 0.000
Pt1 Pt 0.500 0.500 0.264
W1 W 0.000 0.000 0.525
W2 W 0.500 0.500 0.804
```

---

--- iii ---
Computed, not measured: a relaxed structure of CoPtW2 at the PBE-GGA level of DFT.

Structure (CIF):
```
data_CoPtW2
_symmetry_space_group_name_H-M 'P 4/m m m'
_symmetry_Int_Tables_number 123
_symmetry_space_group_name_Hall '-P 4 2'
_cell_length_a 3.302
_cell_length_b 3.302
_cell_length_c 5.452
_cell_angle_alpha 90.00
_cell_angle_beta 90.00
_cell_angle_gamma 90.00
loop_
_atom_site_label
_atom_site_type_symbol
_atom_site_fract_x
_atom_site_fract_y
_atom_site_fract_z
Co1 Co 0.000 0.000 0.000
Pt1 Pt 0.000 0.000 0.500
W1 W 0.500 0.500 0.222
```

---

--- iv ---
Computed, not measured: a relaxed structure of CoPtW2 at the PBE-GGA level of DFT.

Structure (CIF):
```
data_CoPtW2
_symmetry_space_group_name_H-M 'P 1 2/m 1'
_symmetry_Int_Tables_number 10
_cell_length_a 4.696
_cell_length_b 2.783
_cell_length_c 4.776
_cell_angle_alpha 90.00
_cell_angle_beta 108.81
_cell_angle_gamma 90.00
loop_
_symmetry_equiv_pos_as_xyz
'x,y,z'
'-x,-y,-z'
'-x,y,-z'
'x,-y,z'
loop_
_atom_site_label
_atom_site_type_symbol
_atom_site_fract_x
_atom_site_fract_y
_atom_site_fract_z
Co1 Co 0.000 0.000 0.000
Pt1 Pt 0.500 0.500 0.000
W1 W 0.000 0.500 0.500
W2 W 0.500 0.000 0.500
```

---

Q: Which of them is the least stable? A: i.

---

--- i ---
Computed, not measured: a relaxed structure of CoPtW2 at the PBE-GGA level of DFT.

Structure (CIF):
```
data_CoPtW2
_symmetry_space_group_name_H-M 'C 1 2/m 1'
_symmetry_Int_Tables_number 12
_cell_length_a 5.392
_cell_length_b 7.960
_cell_length_c 2.710
_cell_angle_alpha 90.00
_cell_angle_beta 90.28
_cell_angle_gamma 90.00
loop_
_symmetry_equiv_pos_as_xyz
'x,y,z'
'-x,-y,-z'
'-x,y,-z'
'x,-y,z'
'x+1/2,y+1/2,z'
'-x+1/2,-y+1/2,-z'
'-x+1/2,y+1/2,-z'
'x+1/2,-y+1/2,z'
loop_
_atom_site_label
_atom_site_type_symbol
_atom_site_fract_x
_atom_site_fract_y
_atom_site_fract_z
Co1 Co 0.000 0.000 0.000
Pt1 Pt 0.000 0.500 0.000
W1 W 0.250 0.250 0.500
```

---

--- ii ---
Computed, not measured: a relaxed structure of CoPtW2 at the PBE-GGA level of DFT.

Structure (CIF):
```
data_CoPtW2
_symmetry_space_group_name_H-M 'P m m 2'
_symmetry_Int_Tables_number 25
_cell_length_a 2.725
_cell_length_b 4.397
_cell_length_c 4.838
_cell_angle_alpha 90.00
_cell_angle_beta 90.00
_cell_angle_gamma 90.00
loop_
_symmetry_equiv_pos_as_xyz
'x,y,z'
'-x,-y,z'
'-x,y,z'
'x,-y,z'
loop_
_atom_site_label
_atom_site_type_symbol
_atom_site_fract_x
_atom_site_fract_y
_atom_site_fract_z
Co1 Co 0.000 0.000 0.000
Pt1 Pt 0.000 0.500 0.667
W1 W 0.500 0.000 0.488
W2 W 0.500 0.500 0.151
```

---

Q: Which of them is the least stable? A: i.

---

--- i ---
Computed, not measured: a relaxed structure of CoPtW2 at the PBE-GGA level of DFT.

Structure (CIF):
```
data_CoPtW2
_symmetry_space_group_name_H-M 'I -4 m 2'
_symmetry_Int_Tables_number 119
_symmetry_space_group_name_Hall 'I -4 -2'
_cell_length_a 3.906
_cell_length_b 3.906
_cell_length_c 7.697
_cell_angle_alpha 90.00
_cell_angle_beta 90.00
_cell_angle_gamma 90.00
loop_
_atom_site_label
_atom_site_type_symbol
_atom_site_fract_x
_atom_site_fract_y
_atom_site_fract_z
Co1 Co 0.000 0.000 0.000
Pt1 Pt 0.000 0.500 0.750
W1 W 0.000 0.000 0.500
W2 W 0.000 0.500 0.250
```

---

--- ii ---
Computed, not measured: a relaxed structure of CoPtW2 at the PBE-GGA level of DFT.

Structure (CIF):
```
data_CoPtW2
_symmetry_space_group_name_H-M 'R -3 m'
_symmetry_Int_Tables_number 166
_symmetry_space_group_name_Hall '-R 3 2"'
_cell_length_a 2.7601
_cell_length_b 2.7601
_cell_length_c 26.7793
_cell_angle_alpha 90.00
_cell_angle_beta 90.00
_cell_angle_gamma 120.00
loop_
_atom_site_label
_atom_site_type_symbol
_atom_site_fract_x
_atom_site_fract_y
_atom_site_fract_z
Co1 Co 0.0000 0.0000 0.0000
Pt1 Pt 0.0000 0.0000 0.5000
W1 W 0.0000 0.0000 0.2546
```

---

--- iii ---
Computed, not measured: a relaxed structure of CoPtW2 at the PBE-GGA level of DFT.

Structure (CIF):
```
data_CoPtW2
_symmetry_space_group_name_H-M 'F m m m'
_symmetry_Int_Tables_number 69
_symmetry_space_group_name_Hall '-F 2 2'
_cell_length_a 5.378
_cell_length_b 5.392
_cell_length_c 7.978
_cell_angle_alpha 90.00
_cell_angle_beta 90.00
_cell_angle_gamma 90.00
loop_
_atom_site_label
_atom_site_type_symbol
_atom_site_fract_x
_atom_site_fract_y
_atom_site_fract_z
Co1 Co 0.000 0.000 0.000
Pt1 Pt 0.000 0.000 0.500
W1 W 0.250 0.250 0.250
```

---

--- iv ---
Computed, not measured: a relaxed structure of CoPtW2 at the PBE-GGA level of DFT.

Structure (CIF):
```
data_CoPtW2
_symmetry_space_group_name_H-M 'F -4 3 m'
_symmetry_Int_Tables_number 216
_symmetry_space_group_name_Hall 'F -4 2 3'
_cell_length_a 6.182
_cell_length_b 6.182
_cell_length_c 6.182
_cell_angle_alpha 90.00
_cell_angle_beta 90.00
_cell_angle_gamma 90.00
loop_
_atom_site_label
_atom_site_type_symbol
_atom_site_fract_x
_atom_site_fract_y
_atom_site_fract_z
Co1 Co 0.000 0.000 0.000
Pt1 Pt 0.250 0.250 0.250
W1 W 0.000 0.000 0.500
W2 W 0.250 0.250 0.750
```

---

Q: Which of them is the least stable? A: iv.